Entry 1:
Compound: Tl3Cd2In7
Source: the Alexandria database
Functional: PBE-GGA
Structure: optimized geometry

a = 6.3788 Å, b = 6.3788 Å, c = 10.5865 Å
α = 72.47°, β = 72.47°, γ = 60.00°
With the nearest neighbours (Å) after each atom.
Fractional coordinates of all 12 atoms:
Cd1 0.3355 0.3355 0.9934  6 In 3.07-3.12
Cd2 0.6645 0.6645 0.0066  6 In 3.07-3.12
Tl1 0.1410 0.1410 0.5771  12 In 3.62-3.76, 3 Tl 3.99
Tl2 0.8590 0.8590 0.4229  12 In 3.62-3.76, 3 Tl 3.99
Tl3 0.0000 0.0000 0.0000  6 Cd 3.68, 12 In 4.04
In1 0.5875 0.0755 0.7495  2 Cd 3.07-3.12, 5 In 3.11-3.27
In2 0.5000 0.5000 0.5000  6 In 3.11
In3 0.9245 0.4125 0.2505  2 Cd 3.07-3.12, 5 In 3.11-3.27
In4 0.5875 0.5875 0.7495  2 Cd 3.07-3.12, 5 In 3.11-3.27
In5 0.4125 0.4125 0.2505  2 Cd 3.07-3.12, 5 In 3.11-3.27
In6 0.4125 0.9245 0.2505  2 Cd 3.07-3.12, 5 In 3.11-3.27
In7 0.0755 0.5875 0.7495  2 Cd 3.07-3.12, 5 In 3.11-3.27

Values from the calculation:
Energy above the lowest structure with this stoichiometry = 27.1 meV/atom
SG = R-3m (166)
Energy relative to the elements = 0.061 eV/atom


Entry 2:
Compound: TlCd2In
Source: the Alexandria database
Functional: PBE-GGA
Structure: optimized geometry

a = 3.1972 Å, b = 3.3930 Å, c = 9.9725 Å
α = 90.00°, β = 90.00°, γ = 90.00°
With the nearest neighbours (Å) after each atom.
Fractional coordinates of all 4 atoms:
Cd1 0.7501 0.0000 0.0075  2 In 3.08, 4 Cd 3.20-3.39, 4 Tl 3.36
Cd2 0.7499 0.0000 0.4925  2 In 3.08, 4 Cd 3.20-3.39, 4 Tl 3.36
In1 0.7500 0.5000 0.7500  4 Cd 3.08, 4 In 3.20-3.39
Tl1 0.2500 0.5000 0.2500  4 Tl 3.20-3.39, 8 Cd 3.36

Values from the calculation:
Energy above the lowest structure with this stoichiometry = 47.1 meV/atom
SG = Pmmm (47)
Energy relative to the elements = 0.070 eV/atom


Entry 3:
Compound: Tl14CdIn
Source: the Alexandria database
Functional: PBE-GGA
Structure: optimized geometry

a = 6.9668 Å, b = 6.9668 Å, c = 11.3768 Å
α = 90.00°, β = 90.00°, γ = 119.47°
With the nearest neighbours (Å) after each atom.
Fractional coordinates of all 16 atoms:
Tl1 0.2049 0.7951 0.0000  12 Tl 3.45-3.60
Tl2 0.0514 0.4478 0.5000  2 In 3.41-3.56, 2 Cd 3.42-3.54, 8 Tl 3.44-3.52
Tl3 0.3725 0.6275 0.2515  11 Tl 3.44-3.51, 1 Cd 3.51
Tl4 0.7041 0.2959 0.0000  12 Tl 3.44-3.59
Tl5 0.7082 0.7924 0.0000  12 Tl 3.44-3.57
Tl6 0.3729 0.1285 0.2616  1 Cd 3.36, 1 In 3.36, 10 Tl 3.47-3.60
Tl7 0.8715 0.6271 0.7384  1 Cd 3.36, 1 In 3.36, 10 Tl 3.47-3.60
Tl8 0.8735 0.1265 0.7497  11 Tl 3.45-3.51, 1 In 3.51
Tl9 0.5522 0.9486 0.5000  2 In 3.41-3.56, 2 Cd 3.42-3.54, 8 Tl 3.44-3.52
Tl10 0.3729 0.1285 0.7384  1 Cd 3.36, 1 In 3.36, 10 Tl 3.47-3.60
Tl11 0.8735 0.1265 0.2503  11 Tl 3.45-3.51, 1 In 3.51
Tl12 0.2076 0.2918 0.0000  12 Tl 3.44-3.57
Tl13 0.3725 0.6275 0.7485  11 Tl 3.44-3.51, 1 Cd 3.51
Tl14 0.8715 0.6271 0.2616  1 Cd 3.36, 1 In 3.36, 10 Tl 3.47-3.60
In1 0.0450 0.9550 0.5000  10 Tl 3.36-3.56, 2 Cd 3.51
Cd1 0.5459 0.4541 0.5000  10 Tl 3.36-3.54, 2 In 3.51

Values from the calculation:
SG = Amm2 (38)
Energy relative to the elements = 0.019 eV/atom


Entry 4:
Compound: TlCdIn4
Source: the Alexandria database
Functional: PBE-GGA
Structure: optimized geometry

a = 6.2604 Å, b = 6.2604 Å, c = 6.2604 Å
α = 60.00°, β = 60.00°, γ = 60.00°
With the nearest neighbours (Å) after each atom.
Fractional coordinates of all 6 atoms:
In1 0.8753 0.3749 0.3749  6 In 3.13
In2 0.3749 0.3749 0.3749  6 In 3.13
In3 0.3749 0.3749 0.8753  6 In 3.13
In4 0.3749 0.8753 0.3749  6 In 3.13
Cd1 0.0000 0.0000 0.0000  12 In 3.67, 4 Tl 3.83
Tl1 0.7500 0.7500 0.7500  12 In 3.67, 4 Cd 3.83

Values from the calculation:
Energy above the lowest structure with this stoichiometry = 68.6 meV/atom
SG = F-43m (216)
Energy relative to the elements = 0.100 eV/atom


no.,M_tot (μB/f.u.)
1,0.000
2,0.000
3,0.000
4,0.000